# 1
K3Ag2Br2Cl5 | Alexandria | PBE | optimized geometry; calculated total energy = -2.921 eV/atom; ΔE_f (raw) = -1.12 eV/atom; crystal system = tetragonal; volume = 352.1 Å³/cell
1.0
5.165 0.000 0.000
0.000 5.165 0.000
-2.583 -2.583 13.198
Cl Br K Ag
5 2 3 2
direct
0.907 0.407 0.814 Cl
0.407 0.907 0.814 Cl
0.093 0.593 0.186 Cl
0.500 0.500 0.000 Cl
0.593 0.093 0.186 Cl
0.698 0.698 0.396 Br
0.302 0.302 0.604 Br
0.826 0.826 0.651 K
0.174 0.174 0.349 K
0.000 0.000 0.000 K
0.596 0.596 0.193 Ag
0.404 0.404 0.807 Ag

***

# 2
BaTc2Rh | Alexandria | PBE | optimized geometry; calculated total energy = -6.647 eV/atom; E_form = 3.4 eV/f.u.; crystal system = tetragonal; volume = 208.1 Å³/cell
1.0
4.814 0.000 0.000
0.000 4.814 0.000
2.407 2.407 8.980
Rh Tc Ba
2 4 2
direct
0.500 0.500 0.000 Rh
0.250 0.750 0.500 Rh
0.375 0.625 0.250 Tc
0.375 0.625 0.750 Tc
0.875 0.625 0.750 Tc
0.375 0.125 0.250 Tc
0.000 0.000 0.000 Ba
0.750 0.250 0.500 Ba

***

# 3
PaMnCu | Alexandria | PBE | optimized geometry; calculated total energy = -7.422 eV/atom; E_form = 0.5 eV/f.u.; crystal system = hexagonal; volume = 53.4 Å³/cell
1.0
-1.399 -2.496 1.259
3.618 -2.443 -0.822
-0.389 2.165 3.860
Pa Mn Cu
1 1 1
direct
0.000 0.000 0.000 Pa
0.500 0.667 0.333 Mn
0.500 0.333 0.667 Cu

***

# 4
TbPm2Er3Te6 | Alexandria | PBE | optimized geometry; calculated total energy = -5.186 eV/atom; ΔE_f (raw) = -1.30 eV/atom; crystal system = monoclinic; volume = 355.8 Å³/cell
1.0
-1.189 2.142 3.578
-4.151 -7.225 2.945
9.511 -1.861 1.647
Er Pm Te Tb
3 2 6 1
direct
0.170 0.834 0.340 Er
0.830 0.166 0.660 Er
0.500 0.500 0.000 Er
0.831 0.664 0.663 Pm
0.169 0.336 0.337 Pm
0.663 0.591 0.326 Te
0.334 0.925 0.668 Te
0.003 0.749 0.007 Te
0.337 0.409 0.674 Te
0.997 0.251 0.993 Te
0.666 0.075 0.332 Te
0.500 0.000 0.000 Tb

***

# 5
YErZnRh | Alexandria | PBE | optimized geometry; calculated total energy = -5.531 eV/atom; E_form = -2.5 eV/f.u.; crystal system = cubic; volume = 84.2 Å³/cell
1.0
-1.417 1.009 -4.602
-4.321 -1.662 -1.664
-3.700 3.142 -0.802
Zn Y Er Rh
1 1 1 1
direct
0.750 0.750 0.750 Zn
0.000 0.000 0.000 Y
0.500 0.500 0.500 Er
0.250 0.250 0.250 Rh

***

# 6
YHo7Er5 | Alexandria | PBE | optimized geometry; calculated total energy = -4.463 eV/atom; E_form = 3.3 eV/f.u.; crystal system = orthorhombic; volume = 420.0 Å³/cell
1.0
6.216 0.000 2.278
2.984 7.958 1.477
0.367 -0.140 8.618
Er Ho Y
5 7 1
direct
0.763 0.737 0.737 Er
0.003 0.459 0.003 Er
0.536 0.003 0.459 Er
0.536 0.459 0.003 Er
0.003 0.003 0.459 Er
0.017 0.315 0.651 Ho
0.580 0.420 0.420 Ho
0.275 0.725 0.725 Ho
0.017 0.651 0.315 Ho
0.270 0.230 0.230 Ho
0.518 0.156 0.808 Ho
0.518 0.808 0.156 Ho
0.965 0.035 0.035 Y